#1
# InAuSeO

A geometry-optimized InAuSeO structure (PBE-GGA, OQMD).

```
data_InAuSeO
_chemical_formula_sum 'In2 Au2 Se2 O2'
_cell_length_a 3.920
_cell_length_b 3.920
_cell_length_c 9.472
_cell_angle_alpha 90.00
_cell_angle_beta 90.00
_cell_angle_gamma 90.00
_symmetry_space_group_name_H-M 'P 4/n m m'
_symmetry_Int_Tables_number 129
loop_
_symmetry_equiv_pos_as_xyz
'x,y,z'
'-x,-y,-z'
'-y+1/2,x,z'
'y+1/2,-x,-z'
'-x+1/2,-y+1/2,z'
'x+1/2,y+1/2,-z'
'y,-x+1/2,z'
'-y,x+1/2,-z'
'x+1/2,-y,-z'
'-x+1/2,y,z'
'-y,-x,-z'
'y,x,z'
'-x,y+1/2,-z'
'x,-y+1/2,z'
'y+1/2,x+1/2,-z'
'-y+1/2,-x+1/2,z'
loop_
_atom_site_label
_atom_site_type_symbol
_atom_site_fract_x
_atom_site_fract_y
_atom_site_fract_z
_atom_site_occupancy
In1 In 0.250 0.250 0.110 1
Au1 Au 0.250 0.750 0.500 1
Se1 Se 0.250 0.250 0.714 1
O1 O 0.250 0.750 0.000 1
```



#2
# InAuSeO

A geometry-optimized InAuSeO structure (PBE-GGA, OQMD).

```
data_InAuSeO
_chemical_formula_sum 'In2 Au2 Se2 O2'
_cell_length_a 3.971
_cell_length_b 6.828
_cell_length_c 6.461
_cell_angle_alpha 90.00
_cell_angle_beta 90.00
_cell_angle_gamma 90.00
_symmetry_space_group_name_H-M 'P m c 21'
_symmetry_Int_Tables_number 26
_symmetry_space_group_name_Hall 'P 2c -2'
loop_
_atom_site_label
_atom_site_type_symbol
_atom_site_fract_x
_atom_site_fract_y
_atom_site_fract_z
_atom_site_occupancy
In1 In 0.000 0.126 0.000 1
Au1 Au 0.500 0.250 0.489 1
Se1 Se 0.500 0.352 0.124 1
O1 O 0.000 0.131 0.678 1
```



#3
# InAuSeO

A geometry-optimized InAuSeO structure (PBE-GGA, OQMD).

```
data_InAuSeO
_chemical_formula_sum 'In4 Au4 Se4 O4'
_cell_length_a 5.647
_cell_length_b 5.621
_cell_length_c 10.816
_cell_angle_alpha 90.00
_cell_angle_beta 92.10
_cell_angle_gamma 90.00
_symmetry_space_group_name_H-M 'P 1 21 1'
_symmetry_Int_Tables_number 4
_symmetry_space_group_name_Hall 'P 2yb'
loop_
_atom_site_label
_atom_site_type_symbol
_atom_site_fract_x
_atom_site_fract_y
_atom_site_fract_z
_atom_site_occupancy
In1 In 0.006 0.000 0.093 1
In2 In 0.493 0.003 0.905 1
Au1 Au 0.003 0.027 0.719 1
Au2 Au 0.318 0.272 0.502 1
Se1 Se 0.302 0.222 0.277 1
Se2 Se 0.313 0.327 0.727 1
O1 O 0.245 0.251 0.001 1
O2 O 0.255 0.752 0.999 1
```



Of them, #3 has the highest stability.



#1
# InTeAuO

A geometry-optimized InTeAuO structure (PBE-GGA, OQMD).

```
data_InTeAuO
_chemical_formula_sum 'In2 Te2 Au2 O2'
_cell_length_a 3.998
_cell_length_b 3.998
_cell_length_c 10.080
_cell_angle_alpha 90.00
_cell_angle_beta 90.00
_cell_angle_gamma 90.00
_symmetry_space_group_name_H-M 'P 4/n m m'
_symmetry_Int_Tables_number 129
loop_
_symmetry_equiv_pos_as_xyz
'x,y,z'
'-x,-y,-z'
'-y+1/2,x,z'
'y+1/2,-x,-z'
'-x+1/2,-y+1/2,z'
'x+1/2,y+1/2,-z'
'y,-x+1/2,z'
'-y,x+1/2,-z'
'x+1/2,-y,-z'
'-x+1/2,y,z'
'-y,-x,-z'
'y,x,z'
'-x,y+1/2,-z'
'x,-y+1/2,z'
'y+1/2,x+1/2,-z'
'-y+1/2,-x+1/2,z'
loop_
_atom_site_label
_atom_site_type_symbol
_atom_site_fract_x
_atom_site_fract_y
_atom_site_fract_z
_atom_site_occupancy
In1 In 0.250 0.250 0.101 1
Te1 Te 0.250 0.250 0.708 1
Au1 Au 0.250 0.750 0.500 1
O1 O 0.250 0.750 0.000 1
```



#2
# InTeAuO

A geometry-optimized InTeAuO structure (PBE-GGA, OQMD).

```
data_InTeAuO
_chemical_formula_sum 'In2 Te2 Au2 O2'
_cell_length_a 4.305
_cell_length_b 7.079
_cell_length_c 6.484
_cell_angle_alpha 90.00
_cell_angle_beta 90.00
_cell_angle_gamma 90.00
_symmetry_space_group_name_H-M 'P m c 21'
_symmetry_Int_Tables_number 26
_symmetry_space_group_name_Hall 'P 2c -2'
loop_
_atom_site_label
_atom_site_type_symbol
_atom_site_fract_x
_atom_site_fract_y
_atom_site_fract_z
_atom_site_occupancy
In1 In 0.000 0.124 0.000 1
Te1 Te 0.500 0.332 0.172 1
Au1 Au 0.500 0.293 0.586 1
O1 O 0.000 0.123 0.679 1
```



Of them, #1 has the highest stability.



#1
# InPbAuS3

A geometry-optimized InPbAuS3 structure (PBE-GGA, OQMD).

```
data_InPbAuS3
_chemical_formula_sum 'In4 Pb4 Au4 S12'
_cell_length_a 3.947
_cell_length_b 14.610
_cell_length_c 10.318
_cell_angle_alpha 90.00
_cell_angle_beta 90.00
_cell_angle_gamma 90.00
_symmetry_space_group_name_H-M 'C m c m'
_symmetry_Int_Tables_number 63
_symmetry_space_group_name_Hall '-C 2c 2'
loop_
_atom_site_label
_atom_site_type_symbol
_atom_site_fract_x
_atom_site_fract_y
_atom_site_fract_z
_atom_site_occupancy
In1 In 0.000 0.000 0.000 1
Pb1 Pb 0.000 0.312 0.250 1
Au1 Au 0.000 0.357 0.750 1
S1 S 0.000 0.055 0.750 1
S2 S 0.000 0.378 0.526 1
```



#2
# InPbAuS3

A geometry-optimized InPbAuS3 structure (PBE-GGA, OQMD).

```
data_InPbAuS3
_chemical_formula_sum 'In4 Pb4 Au4 S12'
_cell_length_a 3.715
_cell_length_b 13.419
_cell_length_c 11.021
_cell_angle_alpha 90.00
_cell_angle_beta 90.00
_cell_angle_gamma 90.00
_symmetry_space_group_name_H-M 'C m c m'
_symmetry_Int_Tables_number 63
_symmetry_space_group_name_Hall '-C 2c 2'
loop_
_atom_site_label
_atom_site_type_symbol
_atom_site_fract_x
_atom_site_fract_y
_atom_site_fract_z
_atom_site_occupancy
In1 In 0.000 0.234 0.250 1
Pb1 Pb 0.000 0.000 0.000 1
Au1 Au 0.000 0.479 0.750 1
S1 S 0.000 0.115 0.750 1
S2 S 0.000 0.341 0.590 1
```



Of them, #1 has the highest stability.



#1
# InSnAu3S4

A geometry-optimized InSnAu3S4 structure (PBE-GGA, OQMD).

```
data_InSnAu3S4
_chemical_formula_sum 'In1 Sn1 Au3 S4'
_cell_length_a 6.054
_cell_length_b 6.054
_cell_length_c 6.054
_cell_angle_alpha 90.00
_cell_angle_beta 90.00
_cell_angle_gamma 90.00
_symmetry_space_group_name_H-M 'P -4 3 m'
_symmetry_Int_Tables_number 215
_symmetry_space_group_name_Hall 'P -4 2 3'
loop_
_atom_site_label
_atom_site_type_symbol
_atom_site_fract_x
_atom_site_fract_y
_atom_site_fract_z
_atom_site_occupancy
In1 In 0.000 0.000 0.000 1
Sn1 Sn 0.500 0.500 0.500 1
Au1 Au 0.000 0.500 0.500 1
S1 S 0.239 0.239 0.239 1
```



#2
# InSnAu3S4

A geometry-optimized InSnAu3S4 structure (PBE-GGA, OQMD).

```
data_InSnAu3S4
_chemical_formula_sum 'In2 Sn2 Au6 S8'
_cell_length_a 6.229
_cell_length_b 7.478
_cell_length_c 10.324
_cell_angle_alpha 90.00
_cell_angle_beta 102.20
_cell_angle_gamma 90.00
_symmetry_space_group_name_H-M 'P 1 21/m 1'
_symmetry_Int_Tables_number 11
_symmetry_space_group_name_Hall '-P 2yb'
loop_
_atom_site_label
_atom_site_type_symbol
_atom_site_fract_x
_atom_site_fract_y
_atom_site_fract_z
_atom_site_occupancy
In1 In 0.128 0.250 0.390 1
Sn1 Sn 0.075 0.250 0.777 1
Au1 Au 0.374 0.556 0.101 1
Au2 Au 0.472 0.250 0.625 1
S1 S 0.069 0.750 0.015 1
S2 S 0.179 0.750 0.435 1
S3 S 0.297 0.514 0.748 1
```



Of them, #2 has the highest stability.



#1
# InTcAuSe3

A geometry-optimized InTcAuSe3 structure (PBE-GGA, OQMD).

```
data_InTcAuSe3
_chemical_formula_sum 'In4 Tc4 Au4 Se12'
_cell_length_a 10.113
_cell_length_b 3.877
_cell_length_c 13.215
_cell_angle_alpha 90.00
_cell_angle_beta 90.00
_cell_angle_gamma 90.00
_symmetry_space_group_name_H-M 'P n m a'
_symmetry_Int_Tables_number 62
_symmetry_space_group_name_Hall '-P 2ac 2n'
loop_
_atom_site_label
_atom_site_type_symbol
_atom_site_fract_x
_atom_site_fract_y
_atom_site_fract_z
_atom_site_occupancy
In1 In 0.225 0.250 0.041 1
Tc1 Tc 0.041 0.750 0.274 1
Au1 Au 0.249 0.750 0.889 1
Se1 Se 0.008 0.750 0.846 1
Se2 Se 0.010 0.250 0.396 1
Se3 Se 0.232 0.250 0.697 1
```



#2
# InTcAuSe3

A geometry-optimized InTcAuSe3 structure (PBE-GGA, OQMD).

```
data_InTcAuSe3
_chemical_formula_sum 'In4 Tc4 Au4 Se12'
_cell_length_a 3.428
_cell_length_b 15.951
_cell_length_c 9.930
_cell_angle_alpha 90.00
_cell_angle_beta 90.00
_cell_angle_gamma 90.00
_symmetry_space_group_name_H-M 'C m c m'
_symmetry_Int_Tables_number 63
_symmetry_space_group_name_Hall '-C 2c 2'
loop_
_atom_site_label
_atom_site_type_symbol
_atom_site_fract_x
_atom_site_fract_y
_atom_site_fract_z
_atom_site_occupancy
In1 In 0.000 0.177 0.250 1
Tc1 Tc 0.000 0.500 0.000 1
Au1 Au 0.000 0.185 0.750 1
Se1 Se 0.000 0.116 0.520 1
Se2 Se 0.000 0.466 0.750 1
```



Of them, #2 has the highest stability.



#1
# ZrInTe4Au3

A geometry-optimized ZrInTe4Au3 structure (PBE-GGA, OQMD).

```
data_ZrInTe4Au3
_chemical_formula_sum 'Zr2 In2 Te8 Au6'
_cell_length_a 6.452
_cell_length_b 8.244
_cell_length_c 10.625
_cell_angle_alpha 90.00
_cell_angle_beta 105.59
_cell_angle_gamma 90.00
_symmetry_space_group_name_H-M 'P 1 21/m 1'
_symmetry_Int_Tables_number 11
_symmetry_space_group_name_Hall '-P 2yb'
loop_
_atom_site_label
_atom_site_type_symbol
_atom_site_fract_x
_atom_site_fract_y
_atom_site_fract_z
_atom_site_occupancy
Zr1 Zr 0.135 0.250 0.310 1
In1 In 0.265 0.250 0.954 1
Te1 Te 0.075 0.250 0.566 1
Te2 Te 0.180 0.750 0.930 1
Te3 Te 0.354 0.526 0.259 1
Au1 Au 0.291 0.546 0.514 1
Au2 Au 0.397 0.750 0.743 1
```



#2
# ZrInTe4Au3

A geometry-optimized ZrInTe4Au3 structure (PBE-GGA, OQMD).

```
data_ZrInTe4Au3
_chemical_formula_sum 'Zr1 In1 Te4 Au3'
_cell_length_a 6.711
_cell_length_b 6.711
_cell_length_c 6.711
_cell_angle_alpha 90.00
_cell_angle_beta 90.00
_cell_angle_gamma 90.00
_symmetry_space_group_name_H-M 'P -4 3 m'
_symmetry_Int_Tables_number 215
_symmetry_space_group_name_Hall 'P -4 2 3'
loop_
_atom_site_label
_atom_site_type_symbol
_atom_site_fract_x
_atom_site_fract_y
_atom_site_fract_z
_atom_site_occupancy
Zr1 Zr 0.000 0.000 0.000 1
In1 In 0.500 0.500 0.500 1
Te1 Te 0.236 0.236 0.764 1
Au1 Au 0.000 0.000 0.500 1
```



Of them, #2 has the highest stability.



#1
# ZrInTe3Au

A geometry-optimized ZrInTe3Au structure (PBE-GGA, OQMD).

```
data_ZrInTe3Au
_chemical_formula_sum 'Zr4 In4 Te12 Au4'
_cell_length_a 13.156
_cell_length_b 4.171
_cell_length_c 12.521
_cell_angle_alpha 90.00
_cell_angle_beta 90.00
_cell_angle_gamma 90.00
_symmetry_space_group_name_H-M 'P n m a'
_symmetry_Int_Tables_number 62
_symmetry_space_group_name_Hall '-P 2ac 2n'
loop_
_atom_site_label
_atom_site_type_symbol
_atom_site_fract_x
_atom_site_fract_y
_atom_site_fract_z
_atom_site_occupancy
Zr1 Zr 0.050 0.250 0.177 1
In1 In 0.191 0.250 0.475 1
Te1 Te 0.013 0.750 0.340 1
Te2 Te 0.082 0.250 0.929 1
Te3 Te 0.237 0.750 0.666 1
Au1 Au 0.223 0.750 0.312 1
```



#2
# ZrInTe3Au

A geometry-optimized ZrInTe3Au structure (PBE-GGA, OQMD).

```
data_ZrInTe3Au
_chemical_formula_sum 'Zr4 In4 Te12 Au4'
_cell_length_a 4.079
_cell_length_b 15.240
_cell_length_c 10.846
_cell_angle_alpha 90.00
_cell_angle_beta 90.00
_cell_angle_gamma 90.00
_symmetry_space_group_name_H-M 'C m c m'
_symmetry_Int_Tables_number 63
_symmetry_space_group_name_Hall '-C 2c 2'
loop_
_atom_site_label
_atom_site_type_symbol
_atom_site_fract_x
_atom_site_fract_y
_atom_site_fract_z
_atom_site_occupancy
Zr1 Zr 0.000 0.000 0.000 1
In1 In 0.000 0.231 0.250 1
Te1 Te 0.000 0.085 0.750 1
Te2 Te 0.000 0.361 0.541 1
Au1 Au 0.000 0.463 0.750 1
```



Of them, #2 has the highest stability.



#1
# Zr2InAu2

A geometry-optimized Zr2InAu2 structure (PBE-GGA, OQMD).

```
data_Zr2InAu2
_chemical_formula_sum 'Zr4 In2 Au4'
_cell_length_a 4.460
_cell_length_b 4.460
_cell_length_c 11.969
_cell_angle_alpha 90.00
_cell_angle_beta 90.00
_cell_angle_gamma 90.00
_symmetry_space_group_name_H-M 'I 4/m m m'
_symmetry_Int_Tables_number 139
_symmetry_space_group_name_Hall '-I 4 2'
loop_
_atom_site_label
_atom_site_type_symbol
_atom_site_fract_x
_atom_site_fract_y
_atom_site_fract_z
_atom_site_occupancy
Zr1 Zr 0.000 0.500 0.250 1
In1 In 0.000 0.000 0.000 1
Au1 Au 0.000 0.000 0.392 1
```



#2
# Zr2InAu2

A geometry-optimized Zr2InAu2 structure (PBE-GGA, OQMD).

```
data_Zr2InAu2
_chemical_formula_sum 'Zr8 In4 Au8'
_cell_length_a 7.610
_cell_length_b 7.610
_cell_length_c 7.110
_cell_angle_alpha 90.00
_cell_angle_beta 90.00
_cell_angle_gamma 90.00
_symmetry_space_group_name_H-M 'P 42/m n m'
_symmetry_Int_Tables_number 136
_symmetry_space_group_name_Hall '-P 4n 2n'
loop_
_atom_site_label
_atom_site_type_symbol
_atom_site_fract_x
_atom_site_fract_y
_atom_site_fract_z
_atom_site_occupancy
Zr1 Zr 0.146 0.146 0.000 1
Zr2 Zr 0.197 0.197 0.500 1
In1 In 0.000 0.500 0.250 1
Au1 Au 0.130 0.870 0.296 1
```



Of them, #2 has the highest stability.



#1
# NaTcIrAu

A geometry-optimized NaTcIrAu structure (PBE-GGA, OQMD).

```
data_NaTcIrAu
_chemical_formula_sum 'Na4 Tc4 Ir4 Au4'
_cell_length_a 6.374
_cell_length_b 6.374
_cell_length_c 6.374
_cell_angle_alpha 90.00
_cell_angle_beta 90.00
_cell_angle_gamma 90.00
_symmetry_space_group_name_H-M 'F -4 3 m'
_symmetry_Int_Tables_number 216
_symmetry_space_group_name_Hall 'F -4 2 3'
loop_
_atom_site_label
_atom_site_type_symbol
_atom_site_fract_x
_atom_site_fract_y
_atom_site_fract_z
_atom_site_occupancy
Na1 Na 0.000 0.000 0.000 1
Tc1 Tc 0.000 0.000 0.500 1
Ir1 Ir 0.250 0.250 0.750 1
Au1 Au 0.250 0.250 0.250 1
```



#2
# NaTcIrAu

A geometry-optimized NaTcIrAu structure (PBE-GGA, OQMD).

```
data_NaTcIrAu
_chemical_formula_sum 'Na4 Tc4 Ir4 Au4'
_cell_length_a 6.339
_cell_length_b 6.339
_cell_length_c 6.339
_cell_angle_alpha 90.00
_cell_angle_beta 90.00
_cell_angle_gamma 90.00
_symmetry_space_group_name_H-M 'F -4 3 m'
_symmetry_Int_Tables_number 216
_symmetry_space_group_name_Hall 'F -4 2 3'
loop_
_atom_site_label
_atom_site_type_symbol
_atom_site_fract_x
_atom_site_fract_y
_atom_site_fract_z
_atom_site_occupancy
Na1 Na 0.000 0.000 0.000 1
Tc1 Tc 0.250 0.250 0.250 1
Ir1 Ir 0.000 0.000 0.500 1
Au1 Au 0.250 0.250 0.750 1
```



Of them, #2 has the highest stability.